# 1
# LuZrHgPt (PBE, optimized geometry)
# DFT formation energy (kcal/mol of atoms): -14.4
# Calculated volume (Å³/cell): 337.51
# Size of the total moment (μB per atom): 0.0002
# Calculated density (g/cm3): 13.0
# Uncorrected energy (eV per cell): -87.631
data_LuZrHgPt
_space_group_name_H-M_alt 'F -4 3 m'
_space_group_IT_number 216
_space_group_name_Hall 'F -4 2 3'
_cell_length_a 6.962
_cell_length_b 6.962
_cell_length_c 6.962
_cell_angle_alpha 90.00
_cell_angle_beta 90.00
_cell_angle_gamma 90.00
loop_
_atom_site_label
_atom_site_fract_x
_atom_site_fract_y
_atom_site_fract_z
Lu1 0.000 0.000 0.000
Zr1 0.000 0.000 0.500
Hg1 0.250 0.250 0.250
Pt1 0.250 0.250 0.750

=====

# 2
# RbMg (PBE, optimized geometry)
# DFT formation energy (kcal/mol of atoms): 15.6
# Calculated volume (Å³/cell): 1348.13
# Size of the total moment (μB per atom): 0.0000
# Calculated density (g/cm3): 0.8
# Uncorrected energy (eV per cell): -7.272
data_RbMg
_space_group_name_H-M_alt 'P m -3 n'
_space_group_IT_number 223
_space_group_name_Hall '-P 4n 2 3'
_cell_length_a 11.047
_cell_length_b 11.047
_cell_length_c 11.047
_cell_angle_alpha 90.00
_cell_angle_beta 90.00
_cell_angle_gamma 90.00
loop_
_atom_site_label
_atom_site_fract_x
_atom_site_fract_y
_atom_site_fract_z
Rb1 0.000 0.250 0.500
Mg1 0.000 0.500 0.250

=====

# 3
# Tl2ReI4Cl2 (PBE, optimized geometry)
# Calculated volume (Å³/cell): 695.06
# Uncorrected formation energy (meV per atom): -443
# Size of the total moment (μB per atom): 0.3333
# Calculated density (g/cm3): 5.6
# Uncorrected energy (eV per cell): -62.121
data_Tl2ReI4Cl2
_space_group_name_H-M_alt 'C 1 2/m 1'
_space_group_IT_number 12
_space_group_name_Hall '-C 2y'
_cell_length_a 12.777
_cell_length_b 8.061
_cell_length_c 6.889
_cell_angle_alpha 90.00
_cell_angle_beta 101.61
_cell_angle_gamma 90.00
loop_
_atom_site_label
_atom_site_fract_x
_atom_site_fract_y
_atom_site_fract_z
Tl1 0.153 0.000 0.360
Re1 0.000 0.500 0.500
I1 0.111 0.260 0.741
Cl1 0.133 0.500 0.307

=====

# 4
# PmNdHgTe (PBE, optimized geometry)
# Calculated volume (Å³/cell): 377.93
# Uncorrected formation energy (meV per atom): -918
# Size of the total moment (μB per atom): 0.0000
# Calculated density (g/cm3): 8.1
# Uncorrected energy (eV per cell): -49.906
data_PmNdHgTe
_space_group_name_H-M_alt 'R 3 m'
_space_group_IT_number 160
_space_group_name_Hall 'R 3 -2"'
_cell_length_a 4.3139
_cell_length_b 4.3139
_cell_length_c 23.4498
_cell_angle_alpha 90.00
_cell_angle_beta 90.00
_cell_angle_gamma 120.00
loop_
_atom_site_label
_atom_site_fract_x
_atom_site_fract_y
_atom_site_fract_z
Pm1 0.0000 0.0000 0.0000
Nd1 0.0000 0.0000 0.4978
Hg1 0.0000 0.0000 0.2496
Te1 0.0000 0.0000 0.7482

=====

# 5
# CuPAuCl2 (PBE, optimized geometry)
# Calculated volume (Å³/cell): 126.40
# Uncorrected formation energy (meV per atom): 707
# Size of the total moment (μB per atom): 0.2847
# Calculated density (g/cm3): 4.8
# Uncorrected energy (eV per cell): -12.940
data_CuPAuCl2
_space_group_name_H-M_alt 'P 4/m m m'
_space_group_IT_number 123
_space_group_name_Hall '-P 4 2'
_cell_length_a 5.159
_cell_length_b 5.159
_cell_length_c 4.748
_cell_angle_alpha 90.00
_cell_angle_beta 90.00
_cell_angle_gamma 90.00
loop_
_atom_site_label
_atom_site_fract_x
_atom_site_fract_y
_atom_site_fract_z
Cu1 0.000 0.000 0.000
P1 0.500 0.500 0.000
Au1 0.500 0.500 0.500
Cl1 0.000 0.500 0.500

=====

# 6
# Ag2PbIO6 (PBE, optimized geometry)
# Calculated volume (Å³/cell): 152.53
# Uncorrected formation energy (meV per atom): -365
# Size of the total moment (μB per atom): 0.0945
# Calculated density (g/cm3): 7.0
# Uncorrected energy (eV per cell): -44.364
data_Ag2PbIO6
_space_group_name_H-M_alt 'P 1'
_space_group_IT_number 1
_space_group_name_Hall 'P 1'
_cell_length_a 5.691
_cell_length_b 5.739
_cell_length_c 6.170
_cell_angle_alpha 62.80
_cell_angle_beta 65.04
_cell_angle_gamma 61.90
loop_
_atom_site_label
_atom_site_fract_x
_atom_site_fract_y
_atom_site_fract_z
Ag1 0.000 0.000 0.000
Ag2 0.477 0.451 0.601
Pb1 0.255 0.261 0.220
I1 0.785 0.775 0.647
O1 0.121 0.561 0.451
O2 0.452 0.019 0.812
O3 0.592 0.829 0.417
O4 0.676 0.450 0.855
O5 0.871 0.103 0.404
O6 0.983 0.695 0.866

=====

# 7
# Mg2AlAg6 (PBE, optimized geometry)
# DFT formation energy (kcal/mol of atoms): -0.8
# Calculated volume (Å³/cell): 333.67
# Size of the total moment (μB per atom): 0.0000
# Calculated density (g/cm3): 7.2
# Uncorrected energy (eV per cell): -48.707
data_Mg2AlAg6
_space_group_name_H-M_alt 'I m m m'
_space_group_IT_number 71
_space_group_name_Hall '-I 2 2'
_cell_length_a 4.786
_cell_length_b 7.928
_cell_length_c 8.794
_cell_angle_alpha 90.00
_cell_angle_beta 90.00
_cell_angle_gamma 90.00
loop_
_atom_site_label
_atom_site_fract_x
_atom_site_fract_y
_atom_site_fract_z
Mg1 0.000 0.000 0.169
Al1 0.000 0.000 0.500
Ag1 0.000 0.308 0.337
Ag2 0.000 0.319 0.000

=====

# 8
# GeIrO2F (PBE, optimized geometry)
# Calculated volume (Å³/cell): 59.26
# Uncorrected formation energy (meV per atom): -57
# Size of the total moment (μB per atom): 0.4840
# Calculated density (g/cm3): 8.9
# Uncorrected energy (eV per cell): -25.551
data_GeIrO2F
_space_group_name_H-M_alt 'P 4/m m m'
_space_group_IT_number 123
_space_group_name_Hall '-P 4 2'
_cell_length_a 3.886
_cell_length_b 3.886
_cell_length_c 3.923
_cell_angle_alpha 90.00
_cell_angle_beta 90.00
_cell_angle_gamma 90.00
loop_
_atom_site_label
_atom_site_fract_x
_atom_site_fract_y
_atom_site_fract_z
Ge1 0.000 0.000 0.000
Ir1 0.500 0.500 0.500
O1 0.000 0.500 0.000
F1 0.000 0.000 0.500